A plane-wave DFT calculation with PBE was carried out for crystalline MnTcSb2 at its relaxed geometry.

Lattice parameters (Å, degrees): 3.993 3.993 9.405 90.00 90.00 90.00
Fractional coordinates of all 8 atoms:
Mn: 0.000 0.000 0.000
Mn: 0.500 0.500 0.500
Tc: 0.000 0.500 0.250
Tc: 0.500 0.000 0.750
Sb: 0.000 0.000 0.500
Sb: 0.000 0.500 0.750
Sb: 0.500 0.000 0.250
Sb: 0.500 0.500 0.000

## Properties
Fermi-level density of states: 7.84 states/eV per cell
ΔE to the lowest computed polymorph: 125.6 kJ/mol of formula units
Total magnetization: 0.84 μB per atom
V: 150 Å³ per cell
E_tot: -6.536 eV per atom
Raw formation energy: 0.4095 eV per atom
Crystal system: tetragonal

***

A plane-wave DFT calculation with PBE was carried out for crystalline MnTcSb2 at its relaxed geometry.

Lattice parameters (Å, degrees): 8.475 3.353 5.491 90.00 100.11 90.00
Fractional coordinates of all 8 atoms:
Mn: 0.000 0.000 0.000
Mn: 0.500 0.500 0.000
Tc: 0.000 0.500 0.500
Tc: 0.500 0.000 0.500
Sb: 0.238 0.000 0.737
Sb: 0.262 0.500 0.263
Sb: 0.738 0.500 0.737
Sb: 0.762 0.000 0.263

## Properties
Fermi-level density of states: 8.03 states/eV per cell
ΔE to the lowest computed polymorph: 77.9 kJ/mol of formula units
Total magnetization: 0.93 μB per atom
V: 154 Å³ per cell
E_tot: -6.659 eV per atom
Raw formation energy: 0.2857 eV per atom
Crystal system: monoclinic

***

A plane-wave DFT calculation with PBE was carried out for crystalline MnTc2Sb at its relaxed geometry.

Lattice parameters (Å, degrees): 2.969 2.969 25.023 90.00 90.00 120.00
Fractional coordinates of all 12 atoms:
Mn: 0.000 0.000 0.000
Mn: 0.333 0.667 0.667
Mn: 0.667 0.333 0.333
Tc: 0.000 0.000 0.256
Tc: 0.000 0.000 0.744
Tc: 0.333 0.667 0.411
Tc: 0.333 0.667 0.923
Tc: 0.667 0.333 0.077
Tc: 0.667 0.333 0.589
Sb: 0.000 0.000 0.500
Sb: 0.333 0.667 0.167
Sb: 0.667 0.333 0.833

## Properties
Fermi-level density of states: 11.26 states/eV per cell
Total magnetization: 0.47 μB per atom
V: 191 Å³ per cell
E_tot: -8.113 eV per atom
Raw formation energy: 0.3932 eV per atom
Crystal system: trigonal

***

A plane-wave DFT calculation with PBE was carried out for crystalline MnTc2Sb at its relaxed geometry.

Lattice parameters (Å, degrees): 6.226 6.226 6.226 90.00 90.00 90.00
Fractional coordinates of all 16 atoms:
Mn: 0.000 0.000 0.000
Mn: 0.000 0.500 0.500
Mn: 0.500 0.000 0.500
Mn: 0.500 0.500 0.000
Tc: 0.000 0.000 0.500
Tc: 0.000 0.500 0.000
Tc: 0.250 0.250 0.250
Tc: 0.250 0.750 0.750
Tc: 0.500 0.000 0.000
Tc: 0.500 0.500 0.500
Tc: 0.750 0.250 0.750
Tc: 0.750 0.750 0.250
Sb: 0.250 0.250 0.750
Sb: 0.250 0.750 0.250
Sb: 0.750 0.250 0.250
Sb: 0.750 0.750 0.750

## Properties
Fermi-level density of states: 12.03 states/eV per cell
Total magnetization: 0.39 μB per atom
V: 241 Å³ per cell
E_tot: -8.200 eV per atom
Raw formation energy: 0.3058 eV per atom
Crystal system: cubic

***

A plane-wave DFT calculation with PBE was carried out for crystalline MnTcSb4 at its relaxed geometry.

Lattice parameters (Å, degrees): 6.085 6.085 6.085 60.00 60.00 60.00
Fractional coordinates of all 6 atoms:
Mn: 0.000 0.000 0.000
Tc: 0.250 0.250 0.250
Sb: 0.125 0.625 0.625
Sb: 0.625 0.125 0.625
Sb: 0.625 0.625 0.125
Sb: 0.625 0.625 0.625

## Properties
Fermi-level density of states: 5.65 states/eV per cell
Total magnetization: 1.31 μB per atom
V: 159 Å³ per cell
E_tot: -4.900 eV per atom
Raw formation energy: 1.1040 eV per atom
Crystal system: cubic

***

A plane-wave DFT calculation with PBE was carried out for crystalline MnTcSb2 at its relaxed geometry.

Lattice parameters (Å, degrees): 3.340 3.980 5.621 90.00 90.00 90.00
Fractional coordinates of all 4 atoms:
Mn: 0.000 0.000 0.000
Tc: 0.500 0.500 0.676
Sb: 0.000 0.000 0.517
Sb: 0.500 0.500 0.158

## Properties
Fermi-level density of states: 2.98 states/eV per cell
ΔE to the lowest computed polymorph: 39.0 kJ/mol of formula units
Total magnetization: 0.74 μB per atom
V: 75 Å³ per cell
E_tot: -6.760 eV per atom
Raw formation energy: 0.1850 eV per atom
Crystal system: orthorhombic

***

What did the second record say?
A plane-wave DFT calculation with PBE was carried out for crystalline MnTcSb2 at its relaxed geometry.

Lattice parameters (Å, degrees): 8.475 3.353 5.491 90.00 100.11 90.00
Fractional coordinates of all 8 atoms:
Mn: 0.000 0.000 0.000
Mn: 0.500 0.500 0.000
Tc: 0.000 0.500 0.500
Tc: 0.500 0.000 0.500
Sb: 0.238 0.000 0.737
Sb: 0.262 0.500 0.263
Sb: 0.738 0.500 0.737
Sb: 0.762 0.000 0.263

## Properties
Fermi-level density of states: 8.03 states/eV per cell
ΔE to the lowest computed polymorph: 77.9 kJ/mol of formula units
Total magnetization: 0.93 μB per atom
V: 154 Å³ per cell
E_tot: -6.659 eV per atom
Raw formation energy: 0.2857 eV per atom
Crystal system: monoclinic

***

> Look up the V of the second one.

154 Å³ per cell

***

Please write out number 1 again, unchanged.
A plane-wave DFT calculation with PBE was carried out for crystalline MnTcSb2 at its relaxed geometry.

Lattice parameters (Å, degrees): 3.993 3.993 9.405 90.00 90.00 90.00
Fractional coordinates of all 8 atoms:
Mn: 0.000 0.000 0.000
Mn: 0.500 0.500 0.500
Tc: 0.000 0.500 0.250
Tc: 0.500 0.000 0.750
Sb: 0.000 0.000 0.500
Sb: 0.000 0.500 0.750
Sb: 0.500 0.000 0.250
Sb: 0.500 0.500 0.000

## Properties
Fermi-level density of states: 7.84 states/eV per cell
ΔE to the lowest computed polymorph: 125.6 kJ/mol of formula units
Total magnetization: 0.84 μB per atom
V: 150 Å³ per cell
E_tot: -6.536 eV per atom
Raw formation energy: 0.4095 eV per atom
Crystal system: tetragonal